Run one
A relaxed CoS2O2 crystal. Source: Alexandria via LeMat-Bulk, functional PBE+U.

Crystal system ... tetragonal
Density ... 4252 kg/m³
Total moment ... 2.0 μB/cell

a b c (Å): 2.961 2.961 13.810
angles (deg): 90.00 90.00 90.00
Space group I4/mmm (No. 139)
Asymmetric unit:
Co (0.000, 0.000, 0.000) [2 per cell]
S (0.000, 0.000, 0.420) [4 per cell]
O (0.000, 0.500, 0.250) [4 per cell]

***

Run two
A relaxed CoS2O2 crystal. Source: Alexandria via LeMat-Bulk, functional PBE+U.

Crystal system ... tetragonal
Density ... 4268 kg/m³
Total moment ... 2.0 μB/cell

a b c (Å): 5.812 5.812 3.572
angles (deg): 90.00 90.00 90.00
Space group P4/mbm (No. 127)
Asymmetric unit:
Co (0.000, 0.000, 0.000) [2 per cell]
S (0.145, 0.355, 0.000) [4 per cell]
O (0.157, 0.343, 0.500) [4 per cell]

***

Of the structures shown above, run one is the least stable.